1.
# MnAgPbAu2 (PBE, optimized geometry)
# * total magnetization: 0.8727 μB/atom
# * D(E_F): 2.96 states/eV per cell
# * V: 123.7 Å³/cell
data_MnAgPbAu2
_cell_length_a 4.979
_cell_length_b 4.990
_cell_length_c 4.979
_cell_angle_alpha 90.00
_cell_angle_beta 90.00
_cell_angle_gamma 90.00
_symmetry_space_group_name_H-M 'P 1'
_symmetry_Int_Tables_number 1
loop_
_symmetry_equiv_pos_as_xyz
'x,y,z'
loop_
_atom_site_label
_atom_site_type_symbol
_atom_site_fract_x
_atom_site_fract_y
_atom_site_fract_z
Pb1 Pb 0.500 0.500 0.500
Mn1 Mn 0.000 0.000 0.000
Au1 Au 0.000 0.000 0.500
Au2 Au 0.500 0.000 0.000
Ag1 Ag 0.000 0.500 0.000

---

2.
# PmMnAgAu (PBE, optimized geometry)
# * total magnetization: 1.1000 μB/atom
# * D(E_F): 3.05 states/eV per cell
# * V: 85.8 Å³/cell
data_PmMnAgAu
_cell_length_a 4.950
_cell_length_b 4.950
_cell_length_c 4.950
_cell_angle_alpha 60.00
_cell_angle_beta 60.00
_cell_angle_gamma 60.00
_symmetry_space_group_name_H-M 'P 1'
_symmetry_Int_Tables_number 1
loop_
_symmetry_equiv_pos_as_xyz
'x,y,z'
loop_
_atom_site_label
_atom_site_type_symbol
_atom_site_fract_x
_atom_site_fract_y
_atom_site_fract_z
Mn1 Mn 0.500 0.500 0.500
Au1 Au 0.750 0.750 0.750
Ag1 Ag 0.250 0.250 0.250
Pm1 Pm 0.000 0.000 0.000

---

3.
# MnReAg2Au (PBE, optimized geometry)
# * total magnetization: 0.3380 μB/atom
# * D(E_F): 3.91 states/eV per cell
# * V: 101.6 Å³/cell
data_MnReAg2Au
_cell_length_a 4.819
_cell_length_b 4.375
_cell_length_c 4.819
_cell_angle_alpha 90.00
_cell_angle_beta 90.00
_cell_angle_gamma 90.00
_symmetry_space_group_name_H-M 'P 1'
_symmetry_Int_Tables_number 1
loop_
_symmetry_equiv_pos_as_xyz
'x,y,z'
loop_
_atom_site_label
_atom_site_type_symbol
_atom_site_fract_x
_atom_site_fract_y
_atom_site_fract_z
Re1 Re 0.000 0.500 0.000
Mn1 Mn 0.000 0.000 0.000
Au1 Au 0.500 0.500 0.500
Ag1 Ag 0.000 0.000 0.500
Ag2 Ag 0.500 0.000 0.000

---

Number 1: energy of formation 11.2 kcal/mol of atoms. Number 2: energy of formation -4.1 kcal/mol of atoms. Number 3: energy of formation 31.1 kcal/mol of atoms.